A geometry-optimized Ac3Ge3Au2 structure, computed with PBE.

```
data_Ac3Ge3Au2
_symmetry_space_group_name_H-M 'C m c m'
_symmetry_Int_Tables_number 63
_symmetry_space_group_name_Hall '-C 2c 2'
_cell_length_a 4.601
_cell_length_b 11.658
_cell_length_c 16.342
_cell_angle_alpha 90.00
_cell_angle_beta 90.00
_cell_angle_gamma 90.00
loop_
_atom_site_label
_atom_site_type_symbol
_atom_site_fract_x
_atom_site_fract_y
_atom_site_fract_z
Ac1 Ac 0.000 0.081 0.250
Ac2 Ac 0.000 0.359 0.095
Ge1 Ge 0.000 0.080 0.051
Ge2 Ge 0.000 0.198 0.750
Au1 Au 0.000 0.348 0.617
```

Computed properties:
* formation energy: -764.9 meV per atom